This record from Alexandria via LeMat-Bulk describes a relaxed CdCu2Pd crystal. The functional is PBE-GGA.

a b c (Å): 3.7751 3.7751 9.6436
angles (deg): 78.71 78.71 90.00
Closest atoms and distances in Å follow each position.
Atoms (fractional coordinates):
1 Cu 0.6085 0.1250 0.2500  4 Cu 2.58-2.76, 2 Pd 2.65, 2 Cd 2.70
2 Cu 0.1415 0.6250 0.2500  4 Cu 2.58-2.76, 2 Pd 2.65, 2 Cd 2.70
3 Cu 0.3750 0.3915 0.7500  4 Cu 2.58-2.76, 2 Pd 2.65, 2 Cd 2.70
4 Cu 0.8750 0.8585 0.7500  4 Cu 2.58-2.76, 2 Pd 2.65, 2 Cd 2.70
5 Pd 0.5000 0.5000 0.0000  4 Cu 2.65, 4 Cd 2.67
6 Pd 0.2500 0.7500 0.5000  4 Cu 2.65, 4 Cd 2.67
7 Cd 0.0000 0.0000 0.0000  4 Pd 2.67, 4 Cu 2.70
8 Cd 0.7500 0.2500 0.5000  4 Pd 2.67, 4 Cu 2.70

Computed properties:
E: -3.433 eV/atom
ΔE_f: 0.142 eV per atom
Total magnetic moment: 0.000 μB per formula unit



This record from Alexandria via LeMat-Bulk describes a relaxed RbMgMo2 crystal. The functional is PBE-GGA.

a b c (Å): 8.4775 8.4775 6.5279
angles (deg): 49.51 49.51 90.00
Closest atoms and distances in Å follow each position.
Atoms (fractional coordinates):
1 Mo 0.5864 0.1250 0.2500  2 Mo 2.67, 2 Mg 2.85
2 Mo 0.1636 0.6250 0.2500  2 Mo 2.67, 2 Mg 2.85
3 Mo 0.3750 0.4136 0.7500  2 Mo 2.67, 2 Mg 2.85
4 Mo 0.8750 0.8364 0.7500  2 Mo 2.67, 2 Mg 2.85
5 Mg 0.5000 0.5000 0.0000  2 Rb 2.58, 4 Mo 2.85
6 Mg 0.2500 0.7500 0.5000  2 Rb 2.58, 4 Mo 2.85
7 Rb 0.0000 0.0000 0.0000  2 Mg 2.58
8 Rb 0.7500 0.2500 0.5000  2 Mg 2.58

Computed properties:
E: -4.100 eV/atom
ΔE_f: 1.956 eV per atom
Total magnetic moment: 0.834 μB per formula unit



This record from Alexandria via LeMat-Bulk describes a relaxed SmInGePd crystal. The functional is PBE-GGA.

a b c (Å): 4.9469 4.9469 4.9469
angles (deg): 60.00 60.00 60.00
Closest atoms and distances in Å follow each position.
Atoms (fractional coordinates):
1 Ge 0.0000 0.0000 0.0000  4 Sm 3.03, 4 In 3.03
2 Pd 0.5000 0.5000 0.5000  4 In 3.03, 4 Sm 3.03
3 Sm 0.2500 0.2500 0.2500  4 Pd 3.03, 4 Ge 3.03
4 In 0.7500 0.7500 0.7500  4 Ge 3.03, 4 Pd 3.03

Computed properties:
E: -4.858 eV/atom
ΔE_f: -0.541 eV per atom
Total magnetic moment: 0.000 μB per formula unit



This record from Alexandria via LeMat-Bulk describes a relaxed KLi2PbAu crystal. The functional is PBE-GGA.

a b c (Å): 5.2488 5.2488 5.4799
angles (deg): 90.00 90.00 90.00
Closest atoms and distances in Å follow each position.
Atoms (fractional coordinates):
1 Pb 0.0000 0.0000 0.5000  2 Au 2.74
2 K 0.5000 0.5000 0.5000  4 Pb 3.71, 8 Li 3.79
3 Au 0.0000 0.0000 0.0000  4 Li 2.62, 2 Pb 2.74
4 Li 0.0000 0.5000 0.0000  2 Au 2.62
5 Li 0.5000 0.0000 0.0000  2 Au 2.62

Computed properties:
E: -2.563 eV/atom
ΔE_f: -0.180 eV per atom
Total magnetic moment: 0.000 μB per formula unit



This record from Alexandria via LeMat-Bulk describes a relaxed CaAl2Te crystal. The functional is PBE-GGA.

a b c (Å): 3.8549 3.8549 6.5790
angles (deg): 90.00 90.00 90.00
Closest atoms and distances in Å follow each position.
Atoms (fractional coordinates):
1 Ca 0.0000 0.0000 0.4996  5 Al 3.09-3.35, 4 Te 3.25
2 Te 0.5000 0.5000 0.7675  1 Al 2.87
3 Al 0.0000 0.0000 0.0293  4 Al 2.96, 1 Ca 3.09, 4 Te 3.22
4 Al 0.5000 0.5000 0.2036  1 Te 2.87, 4 Al 2.96

Computed properties:
E: -3.439 eV/atom
Total magnetic moment: 0.000 μB per formula unit
Raw formation energy: -27.2 kJ/mol of atoms



This record from Alexandria via LeMat-Bulk describes a relaxed Ho2Zn3Cu12Ge crystal. The functional is PBE-GGA.

a b c (Å): 9.5224 9.5224 9.5224
angles (deg): 37.81 37.81 37.81
Closest atoms and distances in Å follow each position.
Atoms (fractional coordinates):
1 Ho 0.6445 0.6445 0.6445  6 Cu 2.91-2.94
2 Ho 0.3555 0.3555 0.3555  6 Cu 2.91-2.94
3 Zn 0.5000 0.0000 0.0000  4 Cu 2.38
4 Zn 0.0000 0.5000 0.0000  4 Cu 2.38
5 Zn 0.0000 0.0000 0.5000  4 Cu 2.38
6 Cu 0.4190 0.4190 0.8046  2 Zn 2.38, 4 Cu 2.38-2.46
7 Cu 0.8998 0.8998 0.3980  2 Cu 2.46, 1 Ge 2.49, 1 Zn 2.67
8 Cu 0.3980 0.8998 0.8998  2 Cu 2.46, 1 Ge 2.49, 1 Zn 2.67
9 Cu 0.8046 0.4190 0.4190  2 Zn 2.38, 4 Cu 2.38-2.46
10 Cu 0.8998 0.3980 0.8998  2 Cu 2.46, 1 Ge 2.49, 1 Zn 2.67
11 Cu 0.4190 0.8046 0.4190  2 Zn 2.38, 4 Cu 2.38-2.46
12 Cu 0.5810 0.5810 0.1954  2 Zn 2.38, 4 Cu 2.38-2.46
13 Cu 0.1002 0.1002 0.6020  2 Cu 2.46, 1 Ge 2.49, 1 Zn 2.67
14 Cu 0.6020 0.1002 0.1002  2 Cu 2.46, 1 Ge 2.49, 1 Zn 2.67
15 Cu 0.1954 0.5810 0.5810  2 Zn 2.38, 4 Cu 2.38-2.46
16 Cu 0.1002 0.6020 0.1002  2 Cu 2.46, 1 Ge 2.49, 1 Zn 2.67
17 Cu 0.5810 0.1954 0.5810  2 Zn 2.38, 4 Cu 2.38-2.46
18 Ge 0.0000 0.0000 0.0000  6 Cu 2.49

Computed properties:
E: -3.617 eV/atom
ΔE_f: 0.091 eV per atom
Total magnetic moment: 0.000 μB per formula unit



This record from Alexandria via LeMat-Bulk describes a relaxed Tl2Sn2C crystal. The functional is PBE-GGA.

a b c (Å): 4.1198 4.1198 9.2649
angles (deg): 77.15 77.15 90.00
Closest atoms and distances in Å follow each position.
Atoms (fractional coordinates):
1 C 0.0000 0.0000 0.0000  8 Tl 3.29
2 Tl 0.4126 0.4126 0.1748  1 Tl 3.07, 4 C 3.29
3 Tl 0.5874 0.5874 0.8252  1 Tl 3.07, 4 C 3.29
4 Sn 0.7500 0.2500 0.5000  4 Sn 2.91
5 Sn 0.2500 0.7500 0.5000  4 Sn 2.91

Computed properties:
E: -3.081 eV/atom
ΔE_f: 1.311 eV per atom
E above lowest polymorph: 0.248 eV per atom
Total magnetic moment: 1.844 μB per formula unit



This record from Alexandria via LeMat-Bulk describes a relaxed KCr3Mo crystal. The functional is PBE-GGA.

a b c (Å): 4.9054 4.9054 4.9054
angles (deg): 90.00 90.00 90.00
Closest atoms and distances in Å follow each position.
Atoms (fractional coordinates):
1 Cr 0.0000 0.5000 0.0000  2 Mo 2.45
2 Cr 0.0000 0.0000 0.5000  2 Mo 2.45
3 Cr 0.5000 0.0000 0.0000  2 Mo 2.45
4 Mo 0.0000 0.0000 0.0000  6 Cr 2.45
5 K 0.5000 0.5000 0.5000  12 Cr 3.47

Computed properties:
E: -6.824 eV/atom
ΔE_f: 1.336 eV per atom
E above lowest polymorph: 0.000 eV per atom
Total magnetic moment: 9.118 μB per formula unit



This record from Alexandria via LeMat-Bulk describes a relaxed Cs2KRhBr6 crystal. The functional is PBE-GGA.

a b c (Å): 8.0382 8.0382 8.0376
angles (deg): 60.00 60.00 90.00
Closest atoms and distances in Å follow each position.
Atoms (fractional coordinates):
1 Cs 0.7500 0.2500 0.5000  12 Br 4.03
2 Cs 0.2500 0.7500 0.5000  12 Br 4.03
3 K 0.5000 0.5000 0.0000  6 Br 3.16
4 Rh 0.0000 0.0000 0.0000  6 Br 2.52
5 Br 0.2217 0.2217 0.5567  1 Rh 2.52
6 Br 0.7783 0.7783 0.4433  1 Rh 2.52
7 Br 0.2216 0.2216 0.0000  1 Rh 2.52
8 Br 0.7784 0.7784 0.0000  1 Rh 2.52
9 Br 0.7784 0.2216 0.0000  1 Rh 2.52
10 Br 0.2216 0.7784 0.0000  1 Rh 2.52

Computed properties:
E: -3.242 eV/atom
Total magnetic moment: 0.000 μB per formula unit
Raw formation energy: -118.0 kJ/mol of atoms



This record from Alexandria via LeMat-Bulk describes a relaxed AcLa3Tb2 crystal. The functional is PBE-GGA.

a b c (Å): 3.5600 6.2429 10.6314
angles (deg): 107.07 99.64 90.00
Closest atoms and distances in Å follow each position.
Atoms (fractional coordinates):
1 Ac 0.0000 0.0000 0.0000  2 La 3.12
2 La 0.0000 0.5000 0.0000  2 Ac 3.12, 4 Tb 3.27
3 La 0.8088 0.8088 0.6176  5 Tb 3.44-3.75, 2 La 3.56, 1 Ac 3.83
4 La 0.1912 0.1912 0.3824  5 Tb 3.44-3.75, 2 La 3.56, 1 Ac 3.83
5 Tb 0.6370 0.6370 0.2741  3 La 3.27-3.44, 2 Tb 3.56
6 Tb 0.3630 0.3630 0.7259  3 La 3.27-3.44, 2 Tb 3.56

Computed properties:
E: -4.375 eV/atom
ΔE_f: 0.317 eV per atom
E above lowest polymorph: 0.279 eV per atom
Total magnetic moment: 0.000 μB per formula unit



This record from Alexandria via LeMat-Bulk describes a relaxed ZrPIrO2 crystal. The functional is PBE-GGA.

a b c (Å): 3.9329 3.9329 5.8259
angles (deg): 90.00 90.00 90.00
Closest atoms and distances in Å follow each position.
Atoms (fractional coordinates):
1 P 0.0000 0.0000 0.5000  4 Ir 2.78, 2 Zr 2.91
2 Ir 0.5000 0.5000 0.5000  4 P 2.78
3 O 0.0000 0.5000 0.0000  2 Zr 1.97
4 O 0.5000 0.0000 0.0000  2 Zr 1.97
5 Zr 0.0000 0.0000 0.0000  4 O 1.97

Computed properties:
E: -7.182 eV/atom
E above lowest polymorph: 0.000 eV per atom
Total magnetic moment: 2.161 μB per formula unit
Raw formation energy: -61.3 kJ/mol of atoms



This record from Alexandria via LeMat-Bulk describes a relaxed NaPm2Hg7 crystal. The functional is PBE-GGA.

a b c (Å): 5.1003 5.1003 12.4105
angles (deg): 90.00 90.00 120.00
Closest atoms and distances in Å follow each position.
Atoms (fractional coordinates):
1 Na 0.0000 0.0000 0.9678  6 Hg 3.21-3.36
2 Pm 0.6667 0.3333 0.4039  7 Hg 3.02-3.34
3 Pm 0.3333 0.6667 0.6219  7 Hg 3.01-3.35
4 Hg 0.3333 0.6667 0.3487  3 Pm 3.02, 4 Hg 3.10-3.12
5 Hg 0.3333 0.6667 0.0986  5 Hg 2.91-3.10
6 Hg 0.0000 0.0000 0.2645  7 Hg 3.12-3.36, 3 Pm 3.42
7 Hg 0.0000 0.0000 0.5285  6 Pm 3.16-3.33, 1 Hg 3.28
8 Hg 0.6667 0.3333 0.7507  3 Hg 3.26, 3 Pm 3.35
9 Hg 0.6667 0.3333 0.1347  3 Hg 2.98
10 Hg 0.3333 0.6667 0.8641  1 Hg 2.91, 1 Pm 3.01, 3 Na 3.21

Computed properties:
E: -1.538 eV/atom
ΔE_f: -0.245 eV per atom
Total magnetic moment: 0.000 μB per formula unit



- Among the records above, which one has the highest total magnetic moment?
  KCr3Mo



- Which of these has the highest total magnetic moment?
  KCr3Mo



Copy entry 4 word for word.
This record from Alexandria via LeMat-Bulk describes a relaxed KLi2PbAu crystal. The functional is PBE-GGA.

a b c (Å): 5.2488 5.2488 5.4799
angles (deg): 90.00 90.00 90.00
Closest atoms and distances in Å follow each position.
Atoms (fractional coordinates):
1 Pb 0.0000 0.0000 0.5000  2 Au 2.74
2 K 0.5000 0.5000 0.5000  4 Pb 3.71, 8 Li 3.79
3 Au 0.0000 0.0000 0.0000  4 Li 2.62, 2 Pb 2.74
4 Li 0.0000 0.5000 0.0000  2 Au 2.62
5 Li 0.5000 0.0000 0.0000  2 Au 2.62

Computed properties:
E: -2.563 eV/atom
ΔE_f: -0.180 eV per atom
Total magnetic moment: 0.000 μB per formula unit